1.
NaHfAu2 | PBE-GGA | optimized geometry

CIF file:
```
data_NaHfAu2
_chemical_formula_sum 'Na1 Hf1 Au2'
_cell_length_a 4.780
_cell_length_b 4.780
_cell_length_c 4.780
_cell_angle_alpha 60.00
_cell_angle_beta 60.00
_cell_angle_gamma 60.00
_space_group_name_H-M_alt 'P 1'
_space_group_IT_number 1
loop_
_space_group_symop_operation_xyz
'x,y,z'
loop_
_atom_site_label
_atom_site_type_symbol
_atom_site_fract_x
_atom_site_fract_y
_atom_site_fract_z
_atom_site_occupancy
Au1 Au 0.750 0.750 0.750 1
Au2 Au 0.250 0.250 0.250 1
Na1 Na 0.000 0.000 0.000 1
Hf1 Hf 0.500 0.500 0.500 1
```

As for the formation energy: -0.2798 eV per atom. Its density of states at the Fermi level is 2.62 states/eV/cell. The density is 12800 kg/m3. The value obtained for the distance to the lowest polymorph of the same formula is 92 meV/atom. Its space group is Fm-3m (225).


2.
NaHfAu2 | PBE-GGA | optimized geometry

CIF file:
```
data_NaHfAu2
_chemical_formula_sum 'Na2 Hf2 Au4'
_cell_length_a 7.492
_cell_length_b 7.492
_cell_length_c 6.257
_cell_angle_alpha 53.22
_cell_angle_beta 53.22
_cell_angle_gamma 90.00
_space_group_name_H-M_alt 'P 1'
_space_group_IT_number 1
loop_
_space_group_symop_operation_xyz
'x,y,z'
loop_
_atom_site_label
_atom_site_type_symbol
_atom_site_fract_x
_atom_site_fract_y
_atom_site_fract_z
_atom_site_occupancy
Na1 Na 0.500 0.500 0.000 1
Na2 Na 0.250 0.750 0.500 1
Hf1 Hf 0.000 0.000 0.000 1
Hf2 Hf 0.750 0.250 0.500 1
Au1 Au 0.875 0.897 0.750 1
Au2 Au 0.647 0.125 0.250 1
Au3 Au 0.375 0.353 0.750 1
Au4 Au 0.103 0.625 0.250 1
```

As for the formation energy: 0.0881 eV per atom. Its density of states at the Fermi level is 6.20 states/eV/cell. The density is 10579 kg/m3. The value obtained for the distance to the lowest polymorph of the same formula is 460 meV/atom. Its space group is I-42d (122).


3.
NaHf2Au | PBE-GGA | optimized geometry

CIF file:
```
data_NaHf2Au
_chemical_formula_sum 'Na2 Hf4 Au2'
_cell_length_a 4.141
_cell_length_b 4.141
_cell_length_c 10.873
_cell_angle_alpha 79.02
_cell_angle_beta 79.02
_cell_angle_gamma 90.00
_space_group_name_H-M_alt 'P 1'
_space_group_IT_number 1
loop_
_space_group_symop_operation_xyz
'x,y,z'
loop_
_atom_site_label
_atom_site_type_symbol
_atom_site_fract_x
_atom_site_fract_y
_atom_site_fract_z
_atom_site_occupancy
Hf1 Hf 0.639 0.125 0.250 1
Hf2 Hf 0.375 0.361 0.750 1
Hf3 Hf 0.111 0.625 0.250 1
Hf4 Hf 0.875 0.889 0.750 1
Na1 Na 0.500 0.500 0.000 1
Na2 Na 0.250 0.750 0.500 1
Au1 Au 0.750 0.250 0.500 1
Au2 Au 0.000 0.000 0.000 1
```

As for the formation energy: 0.4658 eV per atom. Its density of states at the Fermi level is 8.46 states/eV/cell. The density is 10671 kg/m3. The value obtained for the distance to the lowest polymorph of the same formula is 195 meV/atom. Its space group is I-42d (122).


4.
NaHfAu2 | PBE-GGA | optimized geometry

CIF file:
```
data_NaHfAu2
_chemical_formula_sum 'Na1 Hf1 Au2'
_cell_length_a 3.651
_cell_length_b 3.651
_cell_length_c 8.341
_cell_angle_alpha 77.36
_cell_angle_beta 77.36
_cell_angle_gamma 60.00
_space_group_name_H-M_alt 'P 1'
_space_group_IT_number 1
loop_
_space_group_symop_operation_xyz
'x,y,z'
loop_
_atom_site_label
_atom_site_type_symbol
_atom_site_fract_x
_atom_site_fract_y
_atom_site_fract_z
_atom_site_occupancy
Hf1 Hf 0.000 0.000 0.000 1
Na1 Na 0.500 0.500 0.500 1
Au1 Au 0.739 0.739 0.782 1
Au2 Au 0.261 0.261 0.218 1
```

As for the formation energy: -0.2377 eV per atom. Its density of states at the Fermi level is 3.09 states/eV/cell. The density is 10616 kg/m3. The value obtained for the distance to the lowest polymorph of the same formula is 134 meV/atom. Its space group is R-3m (166).


5.
Na3HfAu | PBE-GGA | optimized geometry

CIF file:
```
data_Na3HfAu
_chemical_formula_sum 'Na3 Hf1 Au1'
_cell_length_a 6.122
_cell_length_b 6.122
_cell_length_c 6.122
_cell_angle_alpha 90.00
_cell_angle_beta 90.00
_cell_angle_gamma 90.00
_space_group_name_H-M_alt 'P 1'
_space_group_IT_number 1
loop_
_space_group_symop_operation_xyz
'x,y,z'
loop_
_atom_site_label
_atom_site_type_symbol
_atom_site_fract_x
_atom_site_fract_y
_atom_site_fract_z
_atom_site_occupancy
Au1 Au 0.500 0.500 0.500 1
Na1 Na 0.500 0.000 0.000 1
Na2 Na 0.000 0.000 0.500 1
Na3 Na 0.000 0.500 0.000 1
Hf1 Hf 0.000 0.000 0.000 1
```

As for the formation energy: 1.4162 eV per atom. Its density of states at the Fermi level is 10.34 states/eV/cell. The density is 3216 kg/m3. The value obtained for the distance to the lowest polymorph of the same formula is 573 meV/atom. Its space group is Pm-3m (221).


6.
NaHfAu2 | PBE-GGA | optimized geometry

CIF file:
```
data_NaHfAu2
_chemical_formula_sum 'Na1 Hf1 Au2'
_cell_length_a 3.394
_cell_length_b 3.394
_cell_length_c 7.447
_cell_angle_alpha 90.00
_cell_angle_beta 90.00
_cell_angle_gamma 90.00
_space_group_name_H-M_alt 'P 1'
_space_group_IT_number 1
loop_
_space_group_symop_operation_xyz
'x,y,z'
loop_
_atom_site_label
_atom_site_type_symbol
_atom_site_fract_x
_atom_site_fract_y
_atom_site_fract_z
_atom_site_occupancy
Hf1 Hf 0.500 0.500 0.000 1
Au1 Au 0.000 0.000 0.209 1
Au2 Au 0.000 0.000 0.791 1
Na1 Na 0.500 0.500 0.500 1
```

As for the formation energy: -0.3716 eV per atom. Its density of states at the Fermi level is 3.11 states/eV/cell. The density is 11523 kg/m3. The value obtained for the distance to the lowest polymorph of the same formula is 0 meV/atom. Its space group is P4/mmm (123).


7.
Na2HfAu | PBE-GGA | optimized geometry

CIF file:
```
data_Na2HfAu
_chemical_formula_sum 'Na4 Hf2 Au2'
_cell_length_a 8.596
_cell_length_b 8.596
_cell_length_c 6.669
_cell_angle_alpha 49.88
_cell_angle_beta 49.88
_cell_angle_gamma 90.00
_space_group_name_H-M_alt 'P 1'
_space_group_IT_number 1
loop_
_space_group_symop_operation_xyz
'x,y,z'
loop_
_atom_site_label
_atom_site_type_symbol
_atom_site_fract_x
_atom_site_fract_y
_atom_site_fract_z
_atom_site_occupancy
Na1 Na 0.673 0.125 0.250 1
Na2 Na 0.875 0.923 0.750 1
Na3 Na 0.077 0.625 0.250 1
Na4 Na 0.375 0.327 0.750 1
Hf1 Hf 0.500 0.500 0.000 1
Hf2 Hf 0.250 0.750 0.500 1
Au1 Au 0.000 0.000 0.000 1
Au2 Au 0.750 0.250 0.500 1
```

As for the formation energy: 0.5001 eV per atom. Its density of states at the Fermi level is 7.54 states/eV/cell. The density is 6901 kg/m3. The value obtained for the distance to the lowest polymorph of the same formula is 0 meV/atom. Its space group is I-42d (122).


8.
NaHf3Au4O12 | PBE-GGA | optimized geometry

CIF file:
```
data_NaHf3Au4O12
_chemical_formula_sum 'Na1 Hf3 Au4 O12'
_cell_length_a 7.089
_cell_length_b 7.089
_cell_length_c 7.089
_cell_angle_alpha 105.62
_cell_angle_beta 105.62
_cell_angle_gamma 105.62
_space_group_name_H-M_alt 'P 1'
_space_group_IT_number 1
loop_
_space_group_symop_operation_xyz
'x,y,z'
loop_
_atom_site_label
_atom_site_type_symbol
_atom_site_fract_x
_atom_site_fract_y
_atom_site_fract_z
_atom_site_occupancy
O1 O 0.500 0.319 0.681 1
O2 O 0.636 0.723 0.969 1
O3 O 0.500 0.103 0.897 1
O4 O 0.897 0.500 0.103 1
O5 O 0.364 0.031 0.277 1
O6 O 0.681 0.500 0.319 1
O7 O 0.103 0.897 0.500 1
O8 O 0.723 0.969 0.636 1
O9 O 0.031 0.277 0.364 1
O10 O 0.969 0.636 0.723 1
O11 O 0.277 0.364 0.031 1
O12 O 0.319 0.681 0.500 1
Au1 Au 0.500 0.905 0.095 1
Au2 Au 0.500 0.500 0.500 1
Au3 Au 0.905 0.095 0.500 1
Au4 Au 0.095 0.500 0.905 1
Hf1 Hf 0.567 0.433 0.000 1
Hf2 Hf 0.000 0.567 0.433 1
Hf3 Hf 0.433 0.000 0.567 1
Na1 Na 0.000 0.000 0.000 1
```

Its density of states at the Fermi level is 18.50 states/eV/cell. The density is 8316 kg/m3. The raw formation energy comes out at -1.3988 eV per atom. Its space group is R32 (155).


9.
NaHfPtAu2 | PBE-GGA | optimized geometry

CIF file:
```
data_NaHfPtAu2
_chemical_formula_sum 'Na1 Hf1 Pt1 Au2'
_cell_length_a 4.585
_cell_length_b 5.194
_cell_length_c 4.585
_cell_angle_alpha 90.00
_cell_angle_beta 90.00
_cell_angle_gamma 90.00
_space_group_name_H-M_alt 'P 1'
_space_group_IT_number 1
loop_
_space_group_symop_operation_xyz
'x,y,z'
loop_
_atom_site_label
_atom_site_type_symbol
_atom_site_fract_x
_atom_site_fract_y
_atom_site_fract_z
_atom_site_occupancy
Pt1 Pt 0.500 0.500 0.500 1
Au1 Au 0.500 0.000 0.000 1
Au2 Au 0.000 0.000 0.500 1
Na1 Na 0.000 0.000 0.000 1
Hf1 Hf 0.000 0.500 0.000 1
```

As for the formation energy: 1.2387 eV per atom. Its density of states at the Fermi level is 5.33 states/eV/cell. The density is 12023 kg/m3. Its space group is P4/mmm (123).


10.
Na2HfAuSe4 | PBE-GGA | optimized geometry

CIF file:
```
data_Na2HfAuSe4
_chemical_formula_sum 'Na2 Hf1 Au1 Se4'
_cell_length_a 6.600
_cell_length_b 6.333
_cell_length_c 6.333
_cell_angle_alpha 74.25
_cell_angle_beta 58.60
_cell_angle_gamma 58.60
_space_group_name_H-M_alt 'P 1'
_space_group_IT_number 1
loop_
_space_group_symop_operation_xyz
'x,y,z'
loop_
_atom_site_label
_atom_site_type_symbol
_atom_site_fract_x
_atom_site_fract_y
_atom_site_fract_z
_atom_site_occupancy
Na1 Na 0.000 0.500 0.500 1
Na2 Na 0.500 0.500 0.500 1
Hf1 Hf 0.000 0.000 0.000 1
Se1 Se 0.580 0.000 0.375 1
Se2 Se 0.044 0.375 0.000 1
Se3 Se 0.420 0.625 0.000 1
Se4 Se 0.956 0.000 0.625 1
Au1 Au 0.500 0.000 0.000 1
```

Its density of states at the Fermi level is 4.17 states/eV/cell. The density is 6350 kg/m3. The raw formation energy comes out at -0.8173 eV per atom. Its space group is I-42m (121).


Question: Among the records above, which one has the highest density?
Answer: number 1


Question: Which value of density does entry 4 give?
Answer: 10616 kg/m3